DFT (PBE) results for a relaxed KGaN3 crystal.

a b c (Å): 4.1164 4.1164 4.1164
angles (deg): 90.00 90.00 90.00
Space group Pm-3m (No. 221)
Inequivalent atoms, fractional coordinates:
K 0.0000 0.0000 0.0000
Ga 0.5000 0.5000 0.5000
N 0.0000 0.5000 0.5000

Values from the calculation:
The total energy is -4.465 eV per atom. Its density of states at the Fermi level is 1.40 states/eV per cell. The value obtained for the formation energy from raw total energies is 6.78 eV per formula unit.

***

DFT (PBE) results for a relaxed Pr2Ho2Sc crystal.

a b c (Å): 3.5128 5.6577 32.1836
angles (deg): 90.00 90.00 90.00
Space group Imma (No. 74)
Inequivalent atoms, fractional coordinates:
Pr 0.0000 0.2500 0.1842
Pr 0.0000 0.2500 0.7058
Ho 0.0000 0.2500 0.8853
Ho 0.0000 0.2500 0.9805
Sc 0.0000 0.2500 0.4277

Values from the calculation:
The total energy is -4.813 eV per atom. Its density of states at the Fermi level is 31.70 states/eV per cell. For the formation energy, the calculation gives 0.20 eV/atom. The value obtained for the energy above the most stable polymorph in this dataset is 0.35 eV per formula unit.

***

DFT (PBE) results for a relaxed La2Al3Pt12Rh crystal.

a b c (Å): 8.0546 8.0546 19.6230
angles (deg): 90.00 90.00 120.00
Space group R-3m (No. 166, hexagonal axes)
Inequivalent atoms, fractional coordinates:
La 0.0000 0.0000 0.1233
Al 0.0000 0.5000 0.0000
Pt 0.0030 0.5015 0.3742
Pt 0.0105 0.5052 0.8758
Rh 0.0000 0.0000 0.5000

Values from the calculation:
The total energy is -6.034 eV per atom. Its density of states at the Fermi level is 29.12 states/eV per cell. For the formation energy, the calculation gives -0.43 eV/atom.

***

DFT (PBE) results for a relaxed TbGa2Ni4 crystal.

a b c (Å): 4.0862 4.0862 21.6871
angles (deg): 90.00 90.00 120.00
Space group R-3m (No. 166, hexagonal axes)
Inequivalent atoms, fractional coordinates:
Tb 0.0000 0.0000 0.0000
Ga 0.0000 0.0000 0.2466
Ni 0.0000 0.0000 0.1381
Ni 0.0000 0.0000 0.4376

Values from the calculation:
The total energy is -5.214 eV per atom. Its density of states at the Fermi level is 20.30 states/eV per cell. For the formation energy, the calculation gives -0.38 eV/atom. The value obtained for the energy above the most stable polymorph in this dataset is 0.44 eV per formula unit.

***

DFT (PBE) results for a relaxed Y3Th2Sc3 crystal.

a b c (Å): 4.8612 4.9150 19.7597
angles (deg): 90.00 90.00 90.00
Space group Immm (No. 71)
Inequivalent atoms, fractional coordinates:
Y 0.0000 0.0000 0.0000
Y 0.0000 0.5000 0.1242
Th 0.0000 0.0000 0.2493
Sc 0.0000 0.0000 0.5000
Sc 0.0000 0.5000 0.3740

Values from the calculation:
The total energy is -6.605 eV per atom. Its density of states at the Fermi level is 22.91 states/eV per cell. For the formation energy, the calculation gives 0.05 eV/atom. The value obtained for the energy above the most stable polymorph in this dataset is 0.00 eV per formula unit.

***

DFT (PBE) results for a relaxed Cd5Ag6Hg2 crystal.

a b c (Å): 12.1613 14.3426 3.0858
angles (deg): 90.00 90.00 90.00
Space group Pbam (No. 55)
Inequivalent atoms, fractional coordinates:
Cd 0.0000 0.0000 0.0000
Cd 0.1254 0.4005 0.0000
Cd 0.1503 0.7430 0.0000
Ag 0.0781 0.5786 0.5000
Ag 0.1719 0.9103 0.5000
Ag 0.2189 0.0769 0.0000
Hg 0.0765 0.2111 0.5000

Values from the calculation:
The total energy is -1.719 eV per atom. Its density of states at the Fermi level is 9.05 states/eV per cell. For the formation energy, the calculation gives 0.00 eV/atom.